Here is a relaxed Te4Au2I3 crystal from the Alexandria database. Energies are from GGA-PBE.

The calculation puts the total energy at -22.867 eV/f.u. The value obtained for the energy relative to the elements, uncorrected is 0.10 eV/atom.

Cell: 16.499 13.476 6.827 Å, 90.00 104.32 90.00°
Space group C2/c (No. 15)
One atom of each set of equivalent atoms:
1 Te 0.155 0.180 0.033 (multiplicity 8)
2 Te 0.161 0.439 0.384 (multiplicity 8)
3 Au 0.193 0.373 0.022 (multiplicity 8)
4 I 0.000 0.446 0.750 (multiplicity 4)
5 I 0.160 0.143 0.504 (multiplicity 8)

---

Here is a relaxed Dy2ThBe crystal from the Alexandria database. Energies are from GGA-PBE.

The calculation puts the total energy at -20.017 eV/f.u. For the formation energy, the calculation gives 32 kJ/mol of formula units. The value obtained for the offset from the most stable computed form is 0 meV/atom.

Cell: 3.460 3.460 8.528 Å, 90.00 90.00 90.00°
Space group P4/mmm (No. 123)
One atom of each set of equivalent atoms:
1 Dy 0.000 0.000 0.196 (multiplicity 2)
2 Th 0.500 0.500 0.500 (multiplicity 1)
3 Be 0.500 0.500 0.000 (multiplicity 1)

---

Here is a relaxed Li2AlRe crystal from the Alexandria database. Energies are from GGA-PBE.

The calculation puts the total energy at -18.462 eV/f.u. For the formation energy, the calculation gives 150 kJ/mol of formula units.

Cell: 4.441 4.441 2.696 Å, 90.00 90.00 90.00°
Space group P4/mmm (No. 123)
One atom of each set of equivalent atoms:
1 Li 0.000 0.500 0.000 (multiplicity 2)
2 Al 0.000 0.000 0.500 (multiplicity 1)
3 Re 0.500 0.500 0.500 (multiplicity 1)

---

Here is a relaxed K2CaZnMo crystal from the Alexandria database. Energies are from GGA-PBE.

The calculation puts the total energy at -10.887 eV/f.u. For the formation energy, the calculation gives 522 kJ/mol of formula units.

Cell: 6.544 6.544 5.142 Å, 90.00 90.00 90.00°
Space group P4/mmm (No. 123)
One atom of each set of equivalent atoms:
1 K 0.000 0.500 0.000 (multiplicity 2)
2 Ca 0.000 0.000 0.500 (multiplicity 1)
3 Zn 0.500 0.500 0.500 (multiplicity 1)
4 Mo 0.500 0.500 0.000 (multiplicity 1)

---

Here is a relaxed AcInBr4 crystal from the Alexandria database. Energies are from GGA-PBE.

The calculation puts the total energy at -23.121 eV/f.u. The value obtained for the energy relative to the elements, uncorrected is -1.60 eV/atom.

Cell: 8.259 4.714 20.989 Å, 90.00 90.00 90.00°
Space group Pnma (No. 62)
One atom of each set of equivalent atoms:
1 Ac 0.247 0.250 0.062 (multiplicity 4)
2 In 0.199 0.750 0.285 (multiplicity 4)
3 Br 0.012 0.750 0.434 (multiplicity 4)
4 Br 0.083 0.750 0.140 (multiplicity 4)
5 Br 0.092 0.750 0.702 (multiplicity 4)
6 Br 0.145 0.750 0.964 (multiplicity 4)

---

Here is a relaxed Mg2TaSe crystal from the Alexandria database. Energies are from GGA-PBE.

The calculation puts the total energy at -17.847 eV/f.u. The value obtained for the energy relative to the elements, uncorrected is 0.17 eV/atom.

Cell: 4.132 4.132 8.804 Å, 90.00 90.00 90.00°
Space group I-4m2 (No. 119)
One atom of each set of equivalent atoms:
1 Mg 0.000 0.000 0.000 (multiplicity 2)
2 Mg 0.000 0.500 0.250 (multiplicity 2)
3 Ta 0.000 0.000 0.500 (multiplicity 2)
4 Se 0.000 0.500 0.750 (multiplicity 2)

---

Here is a relaxed La7Sm3Er crystal from the Alexandria database. Energies are from GGA-PBE.

The calculation puts the total energy at -50.886 eV/f.u. For the formation energy, the calculation gives 224 kJ/mol of formula units.

Cell: 13.002 11.544 6.058 Å, 90.00 117.71 90.00°
Space group C2/m (No. 12)
One atom of each set of equivalent atoms:
1 La 0.000 0.000 0.000 (multiplicity 2)
2 La 0.195 0.290 0.695 (multiplicity 8)
3 La 0.212 0.500 0.213 (multiplicity 4)
4 Sm 0.000 0.294 0.000 (multiplicity 4)
5 Sm 0.000 0.500 0.500 (multiplicity 2)
6 Er 0.000 0.000 0.500 (multiplicity 2)

---

Here is a relaxed NaCaAsBr2 crystal from the Alexandria database. Energies are from GGA-PBE.

The calculation puts the total energy at -14.078 eV/f.u. The value obtained for the energy relative to the elements, uncorrected is -0.55 eV/atom. The value obtained for the offset from the most stable computed form is 296 meV/atom.

Cell: 5.273 5.273 5.581 Å, 90.00 90.00 90.00°
Space group P4/mmm (No. 123)
One atom of each set of equivalent atoms:
1 Na 0.000 0.000 0.000 (multiplicity 1)
2 Ca 0.500 0.500 0.500 (multiplicity 1)
3 As 0.000 0.000 0.500 (multiplicity 1)
4 Br 0.000 0.500 0.000 (multiplicity 2)